Computed, not measured: a geometry-optimized OsBrCl2 structure at the GGA-PBE level of DFT.

Lattice parameters (Å, degrees): 5.1014 12.2399 3.6327 90.00 90.00 90.00
Closest atoms and distances in Å follow each position.
Atoms (fractional coordinates):
Os1 0.0000 0.0000 0.0000  4 Cl 2.38, 2 Br 2.55
Os2 0.5000 0.5000 0.0000  4 Cl 2.38, 2 Br 2.55
Br1 0.0000 0.5000 0.0000  2 Os 2.55
Br2 0.5000 0.0000 0.0000  2 Os 2.55
Cl1 0.0000 0.1256 0.5000  2 Os 2.38
Cl2 0.0000 0.8744 0.5000  2 Os 2.38
Cl3 0.5000 0.3744 0.5000  2 Os 2.38
Cl4 0.5000 0.6256 0.5000  2 Os 2.38

- Offset from the most stable computed form: 37.2 meV/atom
- Space group: No. 65
- Energy relative to the elements, uncorrected: -0.053 eV per atom